(1)
The following is a PBE-GGA calculation of crystalline PmBiN2O at its relaxed geometry, from OQMD via LeMat-Bulk.

a = 5.9543 Å, b = 8.5243 Å, c = 5.7755 Å
α = 90.00°, β = 90.00°, γ = 90.00°
Closest atoms and distances in Å follow each position.
Space group Pnma (No. 62)
Unique sites:
Pm (0.0620, 0.2500, 0.0230) (multiplicity 4)  2 O 2.36-2.46, 2 N 2.41
Bi (0.0000, 0.0000, 0.5000) (multiplicity 4)  4 N 2.20, 2 O 2.29
N (0.1998, 0.5687, 0.8033) (multiplicity 8)  2 Bi 2.20, 1 Pm 2.41
O (0.0532, 0.7500, 0.3678) (multiplicity 4)  2 Bi 2.29, 2 Pm 2.36-2.46

Computed properties:
VASP energy ... -6.66 eV/atom
Calculated volume ... 73 Å³/f.u.



(2)
The following is a PBE-GGA calculation of crystalline RbAlBAu at its relaxed geometry, from OQMD via LeMat-Bulk.

a = 6.9869 Å, b = 6.9869 Å, c = 6.9869 Å
α = 90.00°, β = 90.00°, γ = 90.00°
Closest atoms and distances in Å follow each position.
Space group F-43m (No. 216)
Unique sites:
Rb (0.0000, 0.0000, 0.0000) (multiplicity 4)  4 Au 3.03, 4 B 3.03
Al (0.0000, 0.0000, 0.5000) (multiplicity 4)  4 B 3.03, 4 Au 3.03
B (0.2500, 0.2500, 0.2500) (multiplicity 4)  4 Rb 3.03, 4 Al 3.03
Au (0.2500, 0.2500, 0.7500) (multiplicity 4)  4 Rb 3.03, 4 Al 3.03

Computed properties:
Calculated volume ... 85 Å³/f.u.
Relative energy among the computed polymorphs ... 0 meV/atom



(3)
The following is a PBE-GGA calculation of crystalline Ba2MoH6Pd at its relaxed geometry, from OQMD via LeMat-Bulk.

a = 5.5442 Å, b = 8.5023 Å, c = 5.5515 Å
α = 90.00°, β = 90.78°, γ = 90.00°
Closest atoms and distances in Å follow each position.
Space group P2_1/m (No. 11)
Unique sites:
Ba (0.2502, 0.0001, 0.2500) (multiplicity 4)  12 H 2.78-2.91
Mo (0.2499, 0.2500, 0.7501) (multiplicity 2)  6 H 1.89-1.98
H (0.0015, 0.2500, 0.9993) (multiplicity 2)  1 Mo 1.97, 1 Pd 1.98
H (0.0048, 0.7500, 0.5023) (multiplicity 2)  1 Pd 1.92, 1 Mo 1.98
H (0.2498, 0.0276, 0.7503) (multiplicity 4)  1 Mo 1.89
H (0.4962, 0.7500, 0.9963) (multiplicity 2)  1 Pd 1.92, 1 Mo 1.98
H (0.4983, 0.2500, 0.5012) (multiplicity 2)  1 Mo 1.96, 1 Pd 1.99
Pd (0.2493, 0.7500, 0.7506) (multiplicity 2)  4 H 1.92-1.99

Computed properties:
VASP energy ... -4.21 eV/atom
Calculated volume ... 131 Å³/f.u.



Which value of calculated volume does entry 2 give? 85 Å³/f.u.